# TcHPd3 PBE optimized geometry
# **E above lowest polymorph**: 1466.4 meV per atom
# **Size of the total moment**: 0.211 μB per atom
# **Density**: 6.2 g/cm³
# **V**: 111.40 Å³/cell
data_TcHPd3
_symmetry_space_group_name_H-M 'P m -3 m'
_symmetry_Int_Tables_number 221
_symmetry_space_group_name_Hall '-P 4 2 3'
_cell_length_a 4.812
_cell_length_b 4.812
_cell_length_c 4.812
_cell_angle_alpha 90.00
_cell_angle_beta 90.00
_cell_angle_gamma 90.00
loop_
_atom_site_label
_atom_site_fract_x
_atom_site_fract_y
_atom_site_fract_z
Tc1 0.000 0.000 0.000
H1 0.500 0.500 0.500
Pd1 0.000 0.000 0.500